[1]
{
  "formula": "CrCuW2",
  "functional": "PBE",
  "state": "optimized geometry",
  "lattice_angstrom": [[3.1681, 0.0000, 0.0000], [0.0000, 3.1681, 0.0000], [0.0000, 0.0000, 5.6663]],
  "species": ["Cr", "W", "W", "Cu"],
  "frac_coords": [[0.0000, 0.0000, 0.5099], [0.0000, 0.0000, 0.9890], [0.5000, 0.5000, 0.2608], [0.5000, 0.5000, 0.7402]],
  "magmom_total_mub_per_atom": 0.24,
  "e_form_mev_per_atom": 311,
  "energy_ev_per_cell": -38.38
}


[2]
{
  "formula": "Cr2CuW",
  "functional": "PBE",
  "state": "optimized geometry",
  "lattice_angstrom": [[8.4701, 0.0048, 0.0028], [8.0275, 2.7020, 0.0028], [8.0275, 1.3171, 2.3593]],
  "species": ["Cu", "W", "Cr", "Cr"],
  "frac_coords": [[0.5051, 0.5051, 0.5051], [0.7477, 0.7477, 0.7477], [0.9908, 0.9908, 0.9908], [0.2565, 0.2565, 0.2565]],
  "magmom_total_mub_per_atom": 0.08,
  "e_form_mev_per_atom": 434,
  "energy_ev_per_cell": -34.56
}


[3]
{
  "formula": "Cr2CuW",
  "functional": "PBE",
  "state": "optimized geometry",
  "lattice_angstrom": [[-2.1210, 4.1651, -1.1360], [-1.6560, 0.2771, -4.5075], [-0.3581, -2.5736, 4.0479]],
  "species": ["W", "Cu", "Cr", "Cr"],
  "frac_coords": [[0.2371, 0.7371, 0.5000], [0.5067, 0.5067, 0.0000], [0.7678, 0.2678, 0.5000], [0.9884, 0.9884, 0.0000]],
  "magmom_total_mub_per_atom": 0.00,
  "e_form_mev_per_atom": 292,
  "energy_ev_per_cell": -35.13
}


Values of volume, in order: 14.22, 13.46, 12.98, all in A^3/atom.